# 1
# Li4In4Ag3

A relaxed Li4In4Ag3 crystal (PBE-GGA, Alexandria).

The structure belongs to space group P-1 (No. 2); the cell edges are 3.048, 4.774 and 14.837 Å and the angles 99.15°, 95.11° and 90.25°. The asymmetric unit holds Li at (0.078, 0.086, 0.172), Li at (0.249, 0.268, 0.535), In at (0.344, 0.821, 0.641), In at (0.445, 0.445, 0.889), Ag at (0.136, 0.644, 0.289) and Ag at (0.500, 0.000, 0.000).

The value obtained for the total magnetization is 0.00 μB per cell. As for the crystal system: triclinic. For the energy of formation from the pure elements, the calculation gives -194 meV/atom.

# 2
# Ac2Hg5Pd

A relaxed Ac2Hg5Pd crystal (PBE-GGA, Alexandria).

The structure belongs to space group Pbam (No. 55); the cell edges are 7.118, 13.542 and 4.641 Å and the angles 90.00°, 90.00° and 90.00°. The asymmetric unit holds Ac at (0.201, 0.112, 0.000), Hg at (0.000, 0.500, 0.500), Hg at (0.087, 0.776, 0.500), Hg at (0.184, 0.367, 0.000) and Pd at (0.000, 0.000, 0.500).

The energy above the most stable polymorph in this dataset comes out at 0.0329 eV per atom. The value obtained for the total magnetization is 0.00 μB per cell. As for the crystal system: orthorhombic. For the energy of formation from the pure elements, the calculation gives -396 meV/atom.

# 3
# Pm2Sm6Ho3Er

A relaxed Pm2Sm6Ho3Er crystal (PBE-GGA, Alexandria).

The structure belongs to space group C2/m (No. 12); the cell edges are 6.231, 10.789 and 11.893 Å and the angles 90.00°, 100.04° and 90.00°. The asymmetric unit holds Pm at (0.000, 0.167, 0.000), Sm at (0.248, 0.500, 0.747), Sm at (0.250, 0.166, 0.748), Ho at (0.000, 0.000, 0.500), Ho at (0.000, 0.334, 0.500) and Er at (0.000, 0.500, 0.000).

The value obtained for the total magnetization is 0.00 μB per cell. As for the crystal system: monoclinic. For the energy of formation from the pure elements, the calculation gives 15 meV/atom.

# 4
# PC

A relaxed PC crystal (PBE-GGA, Alexandria).

The structure belongs to space group I-43m (No. 217); the cell edges are 5.880, 5.880 and 5.880 Å and the angles 90.00°, 90.00° and 90.00°. The asymmetric unit holds P at (0.164, 0.164, 0.836) and C at (0.161, 0.161, 0.161).

The energy above the most stable polymorph in this dataset comes out at 0.8203 eV per atom. The value obtained for the total magnetization is 0.00 μB per cell. As for the crystal system: cubic. For the energy of formation from the pure elements, the calculation gives 1133 meV/atom.